Material: Pr8Bi3Te4As
Method: DFT, GGA-PBE
State: relaxed

Summary:
ΔE_f (raw): -1288 meV per atom

a = 9.1148 Å, b = 9.1148 Å, c = 22.2775 Å
α = 90.00°, β = 90.00°, γ = 120.00°
Space group R-3m (No. 166, hexagonal axes)
Inequivalent atoms, fractional coordinates:
1 Pr 0.0000 0.0000 0.2497 (multiplicity 6)
2 Pr 0.0160 0.5080 0.2458 (multiplicity 18)
3 Bi 0.0000 0.5000 0.5000 (multiplicity 9)
4 Te 0.0000 0.0000 0.0000 (multiplicity 3)
5 Te 0.0000 0.5000 0.0000 (multiplicity 9)
6 As 0.0000 0.0000 0.5000 (multiplicity 3)